1.
A relaxed structure of PmZrGePt, computed with PBE-GGA.

Lattice parameters (Å, degrees): 4.954 4.954 4.954 60.00 60.00 60.00
Element x y z (fractional)
1 Ge 0.250 0.250 0.250
2 Zr 0.000 0.000 0.000
3 Pt 0.750 0.750 0.750
4 Pm 0.500 0.500 0.500

Output
- symmetry = F-43m, No. 216
- E_form (kJ/mol of atoms) = -63
- total moment (μB per formula unit) = 0.859

2.
A relaxed structure of Sm4ScIn, computed with PBE-GGA.

Lattice parameters (Å, degrees): 3.487 9.511 5.720 89.99 90.00 90.00
Element x y z (fractional)
1 Sm 0.500 0.691 0.000
2 Sm 0.500 0.309 0.000
3 Sm 0.000 0.185 0.500
4 Sm 0.000 0.815 0.500
5 Sc 0.500 0.500 0.500
6 In 0.000 0.000 0.000

Output
- polymorph energy (0 for the lowest one) (meV/atom) = 0
- symmetry = Pmmm, No. 47
- E_form (kJ/mol of atoms) = 4
- total moment (μB per formula unit) = 0.000

3.
A relaxed structure of Li3SbAs, computed with PBE-GGA.

Lattice parameters (Å, degrees): 5.052 5.052 5.052 90.00 90.00 90.00
Element x y z (fractional)
1 Sb 0.000 0.000 0.000
2 As 0.500 0.500 0.500
3 Li 0.000 0.500 0.000
4 Li 0.000 0.000 0.500
5 Li 0.500 0.000 0.000

Output
- polymorph energy (0 for the lowest one) (meV/atom) = 636
- symmetry = Pm-3m, No. 221
- total moment (μB per formula unit) = 1.033